# 1
Compound: NaPaTl2O6
Source: the Alexandria database
Functional: PBE
Structure: relaxed

abc: 11.183 9.122 5.805
angles: 90.00 90.54 90.00
Space group C2/c (No. 15)
Symmetry-distinct sites (fractional):
Na: 0.000 0.063 0.250 x4
Pa: 0.000 0.333 0.750 x4
Tl: 0.214 0.342 0.260 x8
O: 0.115 0.488 0.561 x8
O: 0.116 0.212 0.988 x8
O: 0.126 0.177 0.528 x8

raw total energy	-6.270	eV per atom
calculated density	8.510	g/cm3
energy relative to the elements, uncorrected	-1.7407	eV per atom
crystal system	monoclinic

---

# 2
Compound: NaPa3Tl4O12
Source: the Alexandria database
Functional: PBE
Structure: relaxed

abc: 8.893 8.893 8.893
angles: 90.00 90.00 90.00
Space group Im-3m (No. 229)
Symmetry-distinct sites (fractional):
Na: 0.000 0.000 0.000 x2
Pa: 0.000 0.000 0.500 x6
Tl: 0.250 0.250 0.250 x8
O: 0.000 0.000 0.275 x12
O: 0.000 0.250 0.500 x12

raw total energy	-6.994	eV per atom
calculated density	8.149	g/cm3
energy relative to the elements, uncorrected	-2.0554	eV per atom
crystal system	cubic

---

# 3
Compound: Na2PaTlO6
Source: the Alexandria database
Functional: PBE
Structure: relaxed

abc: 5.8721 5.8721 14.8470
angles: 90.00 90.00 120.00
Space group R3 (No. 146, hexagonal axes)
Symmetry-distinct sites (fractional):
Na: 0.0000 0.0000 0.0000 x3
Na: 0.0000 0.0000 0.4982 x3
Pa: 0.0000 0.0000 0.2271 x3
Tl: 0.0000 0.0000 0.7285 x3
O: 0.0039 0.5960 0.9717 x9
O: 0.0799 0.3513 0.8086 x9

raw total energy	-6.190	eV per atom
calculated density	6.488	g/cm3
energy relative to the elements, uncorrected	-1.7653	eV per atom
crystal system	trigonal

---

# 4
Compound: NaPaTl2O8
Source: the Alexandria database
Functional: PBE
Structure: relaxed

abc: 7.064 7.064 7.890
angles: 90.00 90.00 90.00
Space group I-4m2 (No. 119)
Symmetry-distinct sites (fractional):
Na: 0.000 0.000 0.000 x2
Pa: 0.000 0.500 0.750 x2
Tl: 0.000 0.000 0.500 x2
Tl: 0.000 0.500 0.250 x2
O: 0.000 0.200 0.706 x8
O: 0.000 0.342 0.018 x8

raw total energy	-5.665	eV per atom
calculated density	6.671	g/cm3
energy relative to the elements, uncorrected	-1.0638	eV per atom
crystal system	tetragonal

---

# 5
Compound: NaUPa2O8
Source: the Alexandria database
Functional: PBE
Structure: relaxed

abc: 5.368 5.368 10.735
angles: 90.00 90.00 90.00
Space group I-4m2 (No. 119)
Symmetry-distinct sites (fractional):
Na: 0.000 0.000 0.000 x2
U: 0.000 0.500 0.750 x2
Pa: 0.000 0.000 0.500 x2
Pa: 0.000 0.500 0.250 x2
O: 0.238 0.241 0.631 x16

raw total energy	-9.234	eV per atom
calculated density	9.137	g/cm3
energy relative to the elements, uncorrected	-3.2954	eV per atom
crystal system	tetragonal

---

# 6
Compound: Na2UPaO6
Source: the Alexandria database
Functional: PBE
Structure: relaxed

abc: 5.844 5.989 10.220
angles: 90.00 124.82 90.00
Space group P2_1/c (No. 14)
Symmetry-distinct sites (fractional):
Na: 0.245 0.030 0.250 x4
U: 0.000 0.000 0.500 x2
Pa: 0.500 0.000 0.000 x2
O: 0.146 0.202 0.950 x4
O: 0.251 0.699 0.950 x4
O: 0.344 0.033 0.749 x4

raw total energy	-8.299	eV per atom
calculated density	6.910	g/cm3
energy relative to the elements, uncorrected	-2.9815	eV per atom
crystal system	monoclinic

---

Respective spin magnetization values: 0.00, 1.73, 0.00, 3.97, 1.01, 1.00 μB per formula unit.